NaMn2F5 after structural relaxation. Source: Alexandria via LeMat-Bulk, functional PBE+U.

Cell and atoms, written as CIF:
```
data_NaMn2F5
_chemical_formula_sum 'Na4 Mn8 F20'
_space_group_name_H-M_alt 'P n n m'
_space_group_IT_number 58
_cell_length_a 8.9989
_cell_length_b 9.1198
_cell_length_c 6.7894
_cell_angle_alpha 90.00
_cell_angle_beta 90.00
_cell_angle_gamma 90.00
loop_
_space_group_symop_operation_xyz
'x,y,z'
'-x,-y,-z'
'-x,-y,z'
'x,y,-z'
'x+1/2,-y+1/2,-z+1/2'
'-x+1/2,y+1/2,z+1/2'
'-x+1/2,y+1/2,-z+1/2'
'x+1/2,-y+1/2,z+1/2'
loop_
_atom_site_label
_atom_site_fract_x
_atom_site_fract_y
_atom_site_fract_z
Na1 0.2484 0.2224 0.0000
Mn1 0.0000 0.5000 0.2421
Mn2 0.1363 0.1258 0.5000
F1 0.0544 0.3608 0.0000
F2 0.0694 0.3607 0.5000
F3 0.0925 0.8969 0.5000
F4 0.2173 0.5996 0.2315
```

Output
Energy (eV/f.u.): -46.72